First-principles (GGA-PBE) data for a relaxed structure of Ta2SeBr, as listed in Alexandria via LeMat-Bulk.

The space group is Pmmm (No. 47) and the conventional cell measures 3.030, 4.417 and 5.861 Å, with angles of 90.00, 90.00 and 90.00 degrees. The inequivalent atoms are Ta at (0.000, 0.000, 0.000), Ta at (0.500, 0.000, 0.500), Se at (0.000, 0.500, 0.500) and Br at (0.500, 0.500, 0.000).

The total energy comes out at -27.1 eV per cell.